Entry 1:
Density functional theory data (PBE) for YAuS2 after structural relaxation.

Summary:
Space-group type: No. 123
Calculated volume: 20.93 A^3/atom

Structure (POSCAR):
```
YAuS2
1.0
3.903 0.000 0.000
0.000 3.903 0.000
0.000 0.000 5.497
Y S Au
1 2 1
direct
0.000 0.000 0.500
0.500 0.500 0.500
0.000 0.000 0.000
0.500 0.500 0.000
```

---

Entry 2:
Density functional theory data (PBE) for YAuS2 after structural relaxation.

Summary:
Space-group type: No. 15
Calculated volume: 24.95 A^3/atom

Structure (POSCAR):
```
YAuS2
1.0
-12.630 19.141 0.330
-0.092 7.175 -4.376
-0.188 -7.210 -4.315
Y S Au
8 16 8
direct
0.121 0.252 0.250
0.379 0.750 0.752
0.879 0.748 0.750
0.621 0.250 0.248
0.356 0.295 0.746
0.144 0.246 0.795
0.644 0.705 0.254
0.856 0.754 0.205
0.990 0.708 0.687
0.510 0.187 0.208
0.010 0.292 0.313
0.490 0.813 0.792
0.741 0.234 0.225
0.759 0.725 0.734
0.259 0.766 0.775
0.241 0.275 0.266
0.516 0.705 0.222
0.984 0.722 0.205
0.484 0.295 0.778
0.016 0.278 0.795
0.750 0.212 0.712
0.250 0.788 0.288
0.750 0.782 0.282
0.250 0.218 0.718
0.385 0.496 0.261
0.115 0.761 0.996
0.615 0.504 0.739
0.885 0.239 0.004
0.382 0.975 0.256
0.118 0.756 0.475
0.618 0.025 0.744
0.882 0.244 0.525
```

---

Entry 3:
Density functional theory data (PBE) for YAuS2 after structural relaxation.

Summary:
Space-group type: No. 9
Calculated volume: 24.53 A^3/atom

Structure (POSCAR):
```
YAuS2
1.0
13.746 0.000 0.133
3.714 3.949 -1.772
-3.714 3.949 1.772
Y S Au
2 4 2
direct
0.255 0.152 0.097
0.755 0.403 0.348
0.300 0.060 0.635
0.800 0.865 0.440
0.210 0.748 0.052
0.710 0.448 0.752
0.252 0.511 0.736
0.752 0.764 0.989
```

---

Entry 4:
Density functional theory data (PBE) for YAuS2 after structural relaxation.

Summary:
Space-group type: No. 12
Calculated volume: 22.52 A^3/atom

Structure (POSCAR):
```
YAuS2
1.0
-7.235 3.611 2.258
-2.679 -1.625 2.619
3.695 1.298 1.159
Y S Au
1 2 1
direct
0.500 0.500 0.500
0.732 0.649 0.351
0.268 0.351 0.649
0.000 0.000 0.000
```

---

Entry 5:
Density functional theory data (PBE) for YAuS2 after structural relaxation.

Summary:
Space-group type: No. 225
Calculated volume: 19.31 A^3/atom

Structure (POSCAR):
```
YAuS2
1.0
0.000 3.380 3.380
3.380 0.000 3.380
3.380 3.380 0.000
Y S Au
1 2 1
direct
0.000 0.000 0.000
0.250 0.250 0.250
0.750 0.750 0.750
0.500 0.500 0.500
```

---

Entry 6:
Density functional theory data (PBE) for Y3AuS2 after structural relaxation.

Summary:
Space-group type: No. 63
Calculated volume: 24.32 A^3/atom

Structure (POSCAR):
```
Y3AuS2
1.0
-4.230 -0.274 0.298
1.732 -0.935 -6.587
0.788 -10.338 1.675
Y Au S
6 2 4
direct
0.643 0.286 0.057
0.101 0.202 0.750
0.643 0.286 0.443
0.899 0.798 0.250
0.357 0.714 0.943
0.357 0.714 0.557
0.244 0.488 0.250
0.756 0.512 0.750
0.000 0.000 0.000
0.000 0.000 0.500
0.515 0.030 0.250
0.485 0.970 0.750
```

---

Entry 7:
Density functional theory data (PBE) for YAuS2 after structural relaxation.

Summary:
Space-group type: No. 63
Calculated volume: 22.63 A^3/atom

Structure (POSCAR):
```
YAuS2
1.0
-7.343 8.762 -4.691
4.007 -10.290 5.545
0.028 1.875 3.460
Y S Au
2 4 2
direct
0.322 0.678 0.250
0.678 0.322 0.750
0.205 0.795 0.250
0.795 0.205 0.750
0.905 0.095 0.250
0.095 0.905 0.750
0.038 0.962 0.250
0.962 0.038 0.750
```

---

Entry 8:
Density functional theory data (PBE) for Y5AuS4 after structural relaxation.

Summary:
Space-group type: No. 12
Calculated volume: 22.31 A^3/atom

Structure (POSCAR):
```
Y5AuS4
1.0
3.822 0.000 0.873
1.612 6.537 1.743
-0.027 -0.028 8.919
Y Au S
5 1 4
direct
0.202 0.903 0.694
0.798 0.097 0.306
0.394 0.317 0.894
0.000 0.500 0.500
0.606 0.683 0.106
0.000 0.000 0.000
0.600 0.204 0.596
0.201 0.392 0.206
0.799 0.608 0.794
0.400 0.796 0.404
```

---

Entry 9:
Density functional theory data (PBE) for Y2AuS after structural relaxation.

Summary:
Space-group type: No. 160
Calculated volume: 24.23 A^3/atom

Structure (POSCAR):
```
Y2AuS
1.0
-3.404 -1.549 -0.926
-0.196 -2.758 -2.683
-0.261 -6.685 4.125
Y Au S
2 1 1
direct
0.085 0.085 0.744
0.248 0.248 0.255
0.668 0.668 0.996
0.498 0.498 0.506
```

---

Entry 10:
Density functional theory data (PBE) for Y7AuS5 after structural relaxation.

Summary:
Space-group type: No. 11
Calculated volume: 22.91 A^3/atom

Structure (POSCAR):
```
Y7AuS5
1.0
3.903 -0.004 0.000
-1.958 6.472 0.007
0.000 -0.028 23.584
Y Au S
14 2 10
direct
0.472 0.943 0.250
0.529 0.058 0.750
0.638 0.274 0.036
0.363 0.727 0.964
0.363 0.727 0.536
0.638 0.274 0.464
0.185 0.371 0.175
0.815 0.631 0.825
0.815 0.630 0.675
0.185 0.370 0.325
0.911 0.822 0.108
0.090 0.180 0.892
0.090 0.180 0.608
0.910 0.821 0.392
0.798 0.595 0.250
0.203 0.406 0.750
0.000 0.001 0.000
0.726 0.452 0.930
0.275 0.549 0.070
0.547 0.095 0.359
0.453 0.906 0.641
0.000 0.001 0.500
0.275 0.549 0.430
0.726 0.452 0.570
0.453 0.906 0.859
0.548 0.095 0.141
```

---

Entry 11:
Density functional theory data (PBE) for Y2AuS2 after structural relaxation.

Summary:
Space-group type: No. 139
Calculated volume: 25.45 A^3/atom
Energy above the lowest structure with this stoichiometry: 12.2 kJ per mole of atoms

Structure (POSCAR):
```
Y2AuS2
1.0
-2.167 -0.933 4.465
4.561 -0.346 2.141
1.108 4.252 4.282
Y S Au
2 2 1
direct
0.750 0.250 0.500
0.250 0.750 0.500
0.339 0.339 0.322
0.661 0.661 0.678
0.000 0.000 0.000
```

---

Entry 12:
Density functional theory data (PBE) for YAuS3 after structural relaxation.

Summary:
Space-group type: No. 221
Calculated volume: 28.75 A^3/atom
Energy above the lowest structure with this stoichiometry: 36.7 kJ per mole of atoms

Structure (POSCAR):
```
YAuS3
1.0
5.238 0.000 0.000
0.000 5.238 0.000
0.000 0.000 5.238
Y S Au
1 3 1
direct
0.000 0.000 0.000
0.000 0.500 0.000
0.000 0.000 0.500
0.500 0.000 0.000
0.500 0.500 0.500
```

---

no.,E_tot (eV per atom)
1,-5.552
2,-5.772
3,-5.667
4,-5.620
5,-5.395
6,-6.508
7,-5.744
8,-6.961
9,-6.351
10,-7.024
11,-6.171
12,-4.399